[1]
Computed, not measured: a geometry-optimized MgCdPd14 structure at the PBE-GGA level of DFT.

```
MgCdPd14
1.0
5.6130 0.0000 0.0000
0.0000 5.6130 0.0000
0.0000 0.0000 7.9625
Mg Cd Pd
1 1 14
direct
0.0000 0.0000 0.0000
0.5000 0.5000 0.0000
0.0000 0.0000 0.5000
0.0000 0.5000 0.0000
0.0000 0.5000 0.5000
0.2481 0.2481 0.2514
0.2481 0.2481 0.7486
0.2481 0.7519 0.2514
0.2481 0.7519 0.7486
0.5000 0.0000 0.0000
0.5000 0.0000 0.5000
0.5000 0.5000 0.5000
0.7519 0.2481 0.2514
0.7519 0.2481 0.7486
0.7519 0.7519 0.2514
0.7519 0.7519 0.7486
```

* space group: P4/mmm


[2]
Computed, not measured: a geometry-optimized SrAl2V structure at the PBE-GGA level of DFT.

```
SrAl2V
1.0
-2.5664 2.5664 9.0577
2.5664 -2.5664 9.0577
2.5664 2.5664 -9.0577
Sr Al V
2 4 2
direct
0.3750 0.6250 0.7500
0.6250 0.3750 0.2500
0.0000 0.0000 0.0000
0.0000 0.0000 0.5000
0.0000 0.5000 0.0000
0.5000 0.0000 0.5000
0.1250 0.8750 0.2500
0.8750 0.1250 0.7500
```

* offset from the most stable computed form: 0.73 eV/f.u.
* space group: I4_1/amd


[3]
Computed, not measured: a geometry-optimized BaNd2Rh structure at the PBE-GGA level of DFT.

```
BaNd2Rh
1.0
3.6621 0.0000 0.0000
0.0000 3.6621 0.0000
0.0000 0.0000 10.0591
Ba Nd Rh
1 2 1
direct
0.0000 0.0000 0.0000
0.5000 0.5000 0.3377
0.5000 0.5000 0.6623
0.0000 0.0000 0.5000
```

* offset from the most stable computed form: 0.39 eV/f.u.
* space group: P4/mmm


[4]
Computed, not measured: a geometry-optimized Tb3Er3Mg structure at the PBE-GGA level of DFT.

```
Tb3Er3Mg
1.0
9.3881 0.0000 0.0000
-4.6941 8.1304 0.0000
0.0000 0.0000 5.5640
Tb Er Mg
6 6 2
direct
0.1017 0.6267 0.2500
0.3733 0.4750 0.2500
0.4750 0.1017 0.7500
0.5250 0.8983 0.2500
0.6267 0.5250 0.7500
0.8983 0.3733 0.7500
0.0543 0.8161 0.7500
0.1839 0.2381 0.7500
0.2381 0.0543 0.2500
0.7619 0.9457 0.7500
0.8161 0.7619 0.2500
0.9457 0.1839 0.2500
0.3333 0.6667 0.7500
0.6667 0.3333 0.2500
```

* offset from the most stable computed form: 0.00 eV/f.u.
* space group: P6_3/m


[5]
Computed, not measured: a geometry-optimized Cd2SiRh structure at the PBE-GGA level of DFT.

```
Cd2SiRh
1.0
3.4186 0.0000 0.0000
0.0000 4.0705 0.0000
-1.6824 0.0000 5.2079
Cd Si Rh
2 1 1
direct
0.0000 0.0000 0.0000
0.3342 0.5000 0.6752
0.7259 0.0000 0.4508
0.6120 0.5000 0.2281
```

* formation energy without anion corrections: -0.10 eV/atom
* space group: Pm


| no. | total energy (eV/cell) | size of the total moment (μB per formula unit) |
| --- | --- | --- |
| 1 | -78.04 | 0.0 |
| 2 | -32.96 | 3.4 |
| 3 | -19.78 | 0.0 |
| 4 | -58.16 | 0.5 |
| 5 | -15.02 | 0.0 |